This record from the Alexandria database describes an optimized crystal structure of MgNiCS. The functional is PBE.

The structure belongs to space group Pm (No. 6); the cell edges are 3.717, 2.972 and 5.177 Å and the angles 90.00°, 109.02° and 90.00°. The inequivalent atoms are Mg at (0.000, 0.000, 0.000), Ni at (0.365, 0.500, 0.719), C at (0.828, 0.500, 0.634) and S at (0.676, 0.000, 0.373).

As for the magnetic moment: 0.00 μB/f.u. The relative energy among the computed polymorphs is 236.0 meV/atom. The value obtained for the energy relative to the elements, uncorrected is 355 meV per atom.